Entry 1:
Here is a geometry-optimized CdNiSb6 structure from Alexandria via LeMat-Bulk. Energies are from PBE.

Properties
* volume: 28.63 A^3/atom
* total magnetic moment: 0.000 μB per cell
* ΔE_f (raw): -0.001 eV per atom

Cell lengths 8.3158, 8.3158, 9.7673 Å; angles 124.54, 124.54, 70.15 degrees
Atoms (fractional coordinates):
Cd (0.0000, 0.5000, 0.0000)
Cd (0.5000, 0.0000, 0.0000)
Ni (0.0000, 0.5000, 0.5000)
Ni (0.5000, 0.0000, 0.5000)
Sb (0.0039, 0.6968, 0.3722)
Sb (0.1297, 0.8224, 0.8247)
Sb (0.1776, 0.8703, 0.1753)
Sb (0.3032, 0.9961, 0.6278)
Sb (0.3419, 0.3419, 0.5107)
Sb (0.3596, 0.3596, 0.2270)
Sb (0.6404, 0.6404, 0.7730)
Sb (0.6581, 0.6581, 0.4893)
Sb (0.6968, 0.0039, 0.3722)
Sb (0.8224, 0.1297, 0.8247)
Sb (0.8703, 0.1776, 0.1753)
Sb (0.9961, 0.3032, 0.6278)

=====

Entry 2:
Here is a geometry-optimized Sc2Hg structure from Alexandria via LeMat-Bulk. Energies are from PBE.

Properties
* ΔH_f (0 K): -0.2398 eV/atom
* volume: 23.48 A^3/atom
* total magnetic moment: 1.537 μB per cell

Cell lengths 7.4552, 7.4552, 4.3910 Å; angles 90.00, 90.00, 120.00 degrees
Atoms (fractional coordinates):
Sc (0.0000, 0.2580, 0.0000)
Sc (0.0000, 0.5924, 0.5000)
Sc (0.2580, 0.0000, 0.0000)
Sc (0.4076, 0.4076, 0.5000)
Sc (0.5924, 0.0000, 0.5000)
Sc (0.7420, 0.7420, 0.0000)
Hg (0.0000, 0.0000, 0.5000)
Hg (0.3333, 0.6667, 0.0000)
Hg (0.6667, 0.3333, 0.0000)

=====

Entry 3:
Here is a geometry-optimized Nd2HoHf structure from Alexandria via LeMat-Bulk. Energies are from PBE.

Properties
* excess energy over the best structure of this formula in the dataset: 47 meV/atom
* ΔH_f (0 K): 0.2163 eV/atom
* volume: 30.12 A^3/atom
* total magnetic moment: 0.000 μB per cell

Cell lengths 4.0511, 4.0511, 7.3418 Å; angles 90.00, 90.00, 90.00 degrees
Atoms (fractional coordinates):
Nd (0.0000, 0.0000, 0.2245)
Nd (0.0000, 0.0000, 0.7755)
Ho (0.5000, 0.5000, 0.5000)
Hf (0.5000, 0.5000, 0.0000)

=====

Entry 4:
Here is a geometry-optimized GdTiCdIn structure from Alexandria via LeMat-Bulk. Energies are from PBE.

Properties
* ΔH_f (0 K): -0.1370 eV/atom
* volume: 23.37 A^3/atom
* total magnetic moment: 8.735 μB per cell

Cell lengths 5.0945, 5.0945, 5.0945 Å; angles 60.00, 60.00, 60.00 degrees
Atoms (fractional coordinates):
Gd (0.0000, 0.0000, 0.0000)
Ti (0.5000, 0.5000, 0.5000)
Cd (0.2500, 0.2500, 0.2500)
In (0.7500, 0.7500, 0.7500)

=====

Entry 5:
Here is a geometry-optimized Dy2BeGa3 structure from Alexandria via LeMat-Bulk. Energies are from PBE.

Properties
* excess energy over the best structure of this formula in the dataset: 4 meV/atom
* ΔH_f (0 K): -0.5382 eV/atom
* volume: 19.50 A^3/atom
* total magnetic moment: 0.000 μB per cell

Cell lengths 3.8214, 4.2069, 7.2782 Å; angles 90.00, 90.00, 90.00 degrees
Atoms (fractional coordinates):
Dy (0.0000, 0.0000, 0.0000)
Dy (0.0000, 0.5000, 0.4908)
Be (0.5000, 0.0000, 0.3239)
Ga (0.5000, 0.0000, 0.6429)
Ga (0.5000, 0.5000, 0.1771)
Ga (0.5000, 0.5000, 0.8306)

=====

Entry 6:
Here is a geometry-optimized PmGe2S4 structure from Alexandria via LeMat-Bulk. Energies are from PBE.

Properties
* volume: 26.03 A^3/atom
* total magnetic moment: 0.000 μB per cell
* ΔE_f (raw): -0.523 eV per atom

Cell lengths 6.2104, 6.2104, 6.2104 Å; angles 106.01, 106.01, 116.64 degrees
Atoms (fractional coordinates):
Pm (0.0000, 0.0000, 0.0000)
Ge (0.2500, 0.7500, 0.5000)
Ge (0.7500, 0.2500, 0.5000)
S (0.1831, 0.6769, 0.8600)
S (0.3231, 0.1831, 0.5061)
S (0.6769, 0.8169, 0.4939)
S (0.8169, 0.3231, 0.1400)

=====

Entry 7:
Here is a geometry-optimized Nd2Dy3Se4 structure from Alexandria via LeMat-Bulk. Energies are from PBE.

Properties
* volume: 26.70 A^3/atom
* total magnetic moment: 0.000 μB per cell
* ΔE_f (raw): -1.559 eV per atom

Cell lengths 7.0509, 7.0509, 10.0184 Å; angles 117.42, 117.42, 33.38 degrees
Atoms (fractional coordinates):
Nd (0.0944, 0.0944, 0.4063)
Nd (0.9056, 0.9056, 0.5937)
Dy (0.2979, 0.2979, 0.2028)
Dy (0.5000, 0.5000, 0.0000)
Dy (0.7021, 0.7021, 0.7972)
Se (0.1058, 0.1058, 0.9074)
Se (0.3044, 0.3044, 0.7051)
Se (0.6956, 0.6956, 0.2949)
Se (0.8942, 0.8942, 0.0926)

=====

Entry 8:
Here is a geometry-optimized Zr7BI12 structure from Alexandria via LeMat-Bulk. Energies are from PBE.

Properties
* volume: 32.96 A^3/atom
* total magnetic moment: 2.391 μB per cell
* ΔE_f (raw): -0.831 eV per atom

Cell lengths 9.4702, 9.4702, 9.4702 Å; angles 109.24, 109.24, 109.24 degrees
Atoms (fractional coordinates):
Zr (0.0000, 0.0000, 0.0000)
Zr (0.2178, 0.3892, 0.4468)
Zr (0.3892, 0.4468, 0.2178)
Zr (0.4468, 0.2178, 0.3892)
Zr (0.5532, 0.7822, 0.6108)
Zr (0.6108, 0.5532, 0.7822)
Zr (0.7822, 0.6108, 0.5532)
B (0.5000, 0.5000, 0.5000)
I (0.0251, 0.3460, 0.1055)
I (0.1055, 0.0251, 0.3460)
I (0.2086, 0.7145, 0.5709)
I (0.2855, 0.4291, 0.7914)
I (0.3460, 0.1055, 0.0251)
I (0.4291, 0.7914, 0.2855)
I (0.5709, 0.2086, 0.7145)
I (0.6540, 0.8945, 0.9749)
I (0.7145, 0.5709, 0.2086)
I (0.7914, 0.2855, 0.4291)
I (0.8945, 0.9749, 0.6540)
I (0.9749, 0.6540, 0.8945)